# HfMn3Tc, optimized geometry, DFT PBE-GGA
data_HfMn3Tc
_chemical_formula_sum 'Hf1 Mn3 Tc1'
_symmetry_space_group_name_H-M 'P m -3 m'
_symmetry_Int_Tables_number 221
_symmetry_space_group_name_Hall '-P 4 2 3'
_cell_length_a 4.391
_cell_length_b 4.391
_cell_length_c 4.391
_cell_angle_alpha 90.00
_cell_angle_beta 90.00
_cell_angle_gamma 90.00
loop_
_atom_site_label
_atom_site_type_symbol
_atom_site_fract_x
_atom_site_fract_y
_atom_site_fract_z
_atom_site_occupancy
Hf1 Hf 0.000 0.000 0.000 1
Mn1 Mn 0.000 0.000 0.500 1
Tc1 Tc 0.500 0.500 0.500 1
# calculated volume = 16.93 A^3/atom
# energy relative to the elements = 2.1031 eV per atom
# density = 8.7 g/cm³
# ΔE to the lowest computed polymorph = 1121.7 meV per atom

=====

# NpAgBiSb, optimized geometry, DFT PBE-GGA
data_NpAgBiSb
_chemical_formula_sum 'Np4 Ag4 Bi4 Sb4'
_symmetry_space_group_name_H-M 'F -4 3 m'
_symmetry_Int_Tables_number 216
_symmetry_space_group_name_Hall 'F -4 2 3'
_cell_length_a 7.455
_cell_length_b 7.455
_cell_length_c 7.455
_cell_angle_alpha 90.00
_cell_angle_beta 90.00
_cell_angle_gamma 90.00
loop_
_atom_site_label
_atom_site_type_symbol
_atom_site_fract_x
_atom_site_fract_y
_atom_site_fract_z
_atom_site_occupancy
Np1 Np 0.000 0.000 0.000 1
Ag1 Ag 0.000 0.000 0.500 1
Bi1 Bi 0.250 0.250 0.750 1
Sb1 Sb 0.250 0.250 0.250 1
# calculated volume = 25.90 A^3/atom
# DFT total energy = -5.8011 eV/atom
# density = 10.8 g/cm³

=====

# Hf2MgTa, optimized geometry, DFT PBE-GGA
data_Hf2MgTa
_chemical_formula_sum 'Hf6 Mg3 Ta3'
_symmetry_space_group_name_H-M 'R 3 m'
_symmetry_Int_Tables_number 160
_symmetry_space_group_name_Hall 'R 3 -2"'
_cell_length_a 3.1242
_cell_length_b 3.1242
_cell_length_c 30.6200
_cell_angle_alpha 90.00
_cell_angle_beta 90.00
_cell_angle_gamma 120.00
loop_
_atom_site_label
_atom_site_type_symbol
_atom_site_fract_x
_atom_site_fract_y
_atom_site_fract_z
_atom_site_occupancy
Hf1 Hf 0.0000 0.0000 0.0000 1
Hf2 Hf 0.0000 0.0000 0.1764 1
Mg1 Mg 0.0000 0.0000 0.7547 1
Ta1 Ta 0.0000 0.0000 0.5881 1
# calculated volume = 21.57 A^3/atom
# energy relative to the elements = 0.1700 eV per atom
# density = 10.8 g/cm³

=====

# LaB3As, optimized geometry, DFT PBE-GGA
data_LaB3As
_chemical_formula_sum 'La1 B3 As1'
_symmetry_space_group_name_H-M 'P m -3 m'
_symmetry_Int_Tables_number 221
_symmetry_space_group_name_Hall '-P 4 2 3'
_cell_length_a 4.234
_cell_length_b 4.234
_cell_length_c 4.234
_cell_angle_alpha 90.00
_cell_angle_beta 90.00
_cell_angle_gamma 90.00
loop_
_atom_site_label
_atom_site_type_symbol
_atom_site_fract_x
_atom_site_fract_y
_atom_site_fract_z
_atom_site_occupancy
La1 La 0.000 0.000 0.000 1
B1 B 0.000 0.500 0.500 1
As1 As 0.500 0.500 0.500 1
# calculated volume = 15.18 A^3/atom
# energy relative to the elements = 0.9884 eV per atom
# density = 5.4 g/cm³
# ΔE to the lowest computed polymorph = 0.0 meV per atom

=====

# CaAlCu2, optimized geometry, DFT PBE-GGA
data_CaAlCu2
_chemical_formula_sum 'Ca4 Al4 Cu8'
_symmetry_space_group_name_H-M 'F -4 3 m'
_symmetry_Int_Tables_number 216
_symmetry_space_group_name_Hall 'F -4 2 3'
_cell_length_a 6.537
_cell_length_b 6.537
_cell_length_c 6.537
_cell_angle_alpha 90.00
_cell_angle_beta 90.00
_cell_angle_gamma 90.00
loop_
_atom_site_label
_atom_site_type_symbol
_atom_site_fract_x
_atom_site_fract_y
_atom_site_fract_z
_atom_site_occupancy
Ca1 Ca 0.000 0.000 0.000 1
Al1 Al 0.250 0.250 0.750 1
Cu1 Cu 0.000 0.000 0.500 1
Cu2 Cu 0.250 0.250 0.250 1
# calculated volume = 17.46 A^3/atom
# energy relative to the elements = 0.0732 eV per atom
# density = 4.6 g/cm³

=====

# Sr3HgPb4, optimized geometry, DFT PBE-GGA
data_Sr3HgPb4
_chemical_formula_sum 'Sr3 Hg1 Pb4'
_symmetry_space_group_name_H-M 'P -1'
_symmetry_Int_Tables_number 2
_symmetry_space_group_name_Hall '-P 1'
_cell_length_a 4.565
_cell_length_b 5.014
_cell_length_c 12.698
_cell_angle_alpha 101.35
_cell_angle_beta 100.15
_cell_angle_gamma 90.01
loop_
_atom_site_label
_atom_site_type_symbol
_atom_site_fract_x
_atom_site_fract_y
_atom_site_fract_z
_atom_site_occupancy
Sr1 Sr 0.000 0.000 0.000 1
Sr2 Sr 0.130 0.631 0.268 1
Hg1 Hg 0.500 0.500 0.000 1
Pb1 Pb 0.274 0.776 0.546 1
Pb2 Pb 0.400 0.900 0.794 1
# calculated volume = 35.04 A^3/atom
# energy relative to the elements = -0.3622 eV per atom
# density = 7.7 g/cm³

=====

no.,magnetic moment (μB per formula unit)
1,3.42
2,4.39
3,0.00
4,0.00
5,0.00
6,0.00